Here is PrErI6 after structural relaxation from the Alexandria database. Energies are from GGA-PBE.

Cell and atoms, written as CIF:
```
data_PrErI6
_space_group_name_H-M_alt 'P 1'
_space_group_IT_number 1
_space_group_name_Hall 'P 1'
_cell_length_a 8.2804
_cell_length_b 8.2804
_cell_length_c 8.2804
_cell_angle_alpha 55.52
_cell_angle_beta 55.52
_cell_angle_gamma 55.52
loop_
_atom_site_label
_atom_site_fract_x
_atom_site_fract_y
_atom_site_fract_z
Pr1 0.0000 0.0000 0.0000
Er1 0.5000 0.5000 0.5000
I1 0.0957 0.4179 0.7418
I2 0.2582 0.9043 0.5821
I3 0.4179 0.7418 0.0957
I4 0.5821 0.2582 0.9043
I5 0.7418 0.0957 0.4179
I6 0.9043 0.5821 0.2582
```


# Pr2ErI GGA-PBE relaxed
# E above lowest polymorph, eV per atom: 0.000
data_Pr2ErI
_space_group_name_H-M_alt 'P 1'
_space_group_IT_number 1
_space_group_name_Hall 'P 1'
_cell_length_a 10.9901
_cell_length_b 10.9901
_cell_length_c 10.9901
_cell_angle_alpha 20.15
_cell_angle_beta 20.15
_cell_angle_gamma 20.15
loop_
_atom_site_label
_atom_site_fract_x
_atom_site_fract_y
_atom_site_fract_z
Pr1 0.0000 0.0000 0.0000
Pr2 0.1736 0.1736 0.1736
Er1 0.7537 0.7537 0.7537
I1 0.5869 0.5869 0.5869


Number 1: M_tot 0.0 μB/f.u., ΔE_f (raw) -1334 meV per atom. Number 2: M_tot 0.1 μB/f.u., ΔE_f (raw) -397 meV per atom.